Material: EuYSnBi
Method: DFT, PBE
State: optimized geometry

Results
ρ   7.85 g cm⁻³
ΔE_f   -586 meV/atom
DOS(E_F)   4.50 states/eV/cell

POSCAR file:
```
EuYSnBi
1.0
5.5415 0.0000 0.0000
2.7707 4.7991 0.0000
2.7707 1.5997 4.5246
Eu Y Bi Sn
1 1 1 1
direct
0.2500 0.2500 0.2500
0.7500 0.7500 0.7500
0.0000 0.0000 0.0000
0.5000 0.5000 0.5000
```

***

Material: Y2Th3Sc3
Method: DFT, PBE
State: optimized geometry

Results
ρ   7.14 g cm⁻³
ΔE_f   42 meV/atom
DOS(E_F)   11.13 states/eV/cell

POSCAR file:
```
Y2Th3Sc3
1.0
4.7562 0.0000 0.0000
0.0000 4.9399 0.0000
-2.3781 -2.4699 9.9915
Y Th Sc
2 3 3
direct
0.7487 0.2487 0.4974
0.2513 0.7513 0.5026
0.6215 0.6215 0.2431
0.3785 0.3785 0.7569
0.5000 0.0000 0.0000
0.1220 0.1220 0.2441
0.0000 0.5000 0.0000
0.8780 0.8780 0.7559
```